(1)
## Ac3Co2Ni4 (PBE)

Data for Ac3Co2Ni4 after structural relaxation.

```
Ac3Co2Ni4
1.0
4.097 0.000 0.000
-2.048 3.548 0.000
0.000 0.000 25.653
Ac Co Ni
6 4 8
Direct
0.000 0.000 0.084 Ac
0.000 0.000 0.248 Ac
0.000 0.000 0.415 Ac
0.000 0.000 0.585 Ac
0.000 0.000 0.752 Ac
0.000 0.000 0.916 Ac
0.333 0.667 0.500 Co
0.667 0.333 0.166 Co
0.667 0.333 0.500 Co
0.667 0.333 0.834 Co
0.333 0.667 0.000 Ni
0.333 0.667 0.166 Ni
0.333 0.667 0.332 Ni
0.333 0.667 0.668 Ni
0.333 0.667 0.834 Ni
0.667 0.333 0.000 Ni
0.667 0.333 0.332 Ni
0.667 0.333 0.668 Ni
```

Summary:
Energy relative to the elements   -168 meV/atom

---

(2)
## Li2OsAu2 (PBE)

Data for Li2OsAu2 after structural relaxation.

```
Li2OsAu2
1.0
7.464 0.000 0.000
0.000 7.464 0.000
0.000 0.000 2.703
Li Os Au
4 2 4
Direct
0.149 0.351 0.000 Li
0.351 0.851 0.000 Li
0.649 0.149 0.000 Li
0.851 0.649 0.000 Li
0.000 0.000 0.500 Os
0.500 0.500 0.500 Os
0.152 0.652 0.500 Au
0.348 0.152 0.500 Au
0.652 0.848 0.500 Au
0.848 0.348 0.500 Au
```

Summary:
Energy relative to the elements   143 meV/atom
Polymorph energy (0 for the lowest one)   6.3 kJ/mol of atoms

---

(3)
## In2GaAgSn (PBE)

Data for In2GaAgSn after structural relaxation.

```
In2GaAgSn
1.0
3.888 0.000 0.000
0.000 3.888 0.000
0.000 0.000 15.760
In Ga Ag Sn
4 2 2 2
Direct
0.250 0.250 0.132 In
0.250 0.250 0.755 In
0.750 0.750 0.245 In
0.750 0.750 0.868 In
0.250 0.750 0.500 Ga
0.750 0.250 0.500 Ga
0.250 0.250 0.950 Ag
0.750 0.750 0.050 Ag
0.250 0.250 0.348 Sn
0.750 0.750 0.652 Sn
```

Summary:
Energy relative to the elements   59 meV/atom

---

(4)
## La2PbCl (PBE)

Data for La2PbCl after structural relaxation.

```
La2PbCl
1.0
-1.859 2.217 7.637
1.859 -2.217 7.637
1.859 2.217 -7.637
La Pb Cl
2 1 1
Direct
0.000 0.000 0.000 La
0.737 0.237 0.500 La
0.344 0.844 0.500 Pb
0.578 0.578 0.000 Cl
```

Summary:
Polymorph energy (0 for the lowest one)   15.1 kJ/mol of atoms
Energy relative to the elements, uncorrected   -950 meV/atom

---

(5)
## La2Pr3Sm6Mg (PBE)

Data for La2Pr3Sm6Mg after structural relaxation.

```
La2Pr3Sm6Mg
1.0
3.150 -5.459 0.000
3.150 5.459 0.000
-2.121 0.000 11.892
La Pr Sm Mg
2 3 6 1
Direct
0.167 0.833 0.000 La
0.833 0.167 0.000 La
0.000 0.000 0.500 Pr
0.333 0.667 0.500 Pr
0.667 0.333 0.500 Pr
0.088 0.418 0.751 Sm
0.252 0.252 0.250 Sm
0.418 0.088 0.751 Sm
0.582 0.912 0.249 Sm
0.748 0.748 0.750 Sm
0.912 0.582 0.249 Sm
0.500 0.500 0.000 Mg
```

Summary:
Energy relative to the elements   17 meV/atom

---

(6)
## Pa2SeN (PBE)

Data for Pa2SeN after structural relaxation.

```
Pa2SeN
1.0
1.789 1.033 6.905
-1.789 1.033 6.905
0.000 -2.066 6.905
Pa Se N
2 1 1
Direct
0.234 0.234 0.234 Pa
0.766 0.766 0.766 Pa
0.000 0.000 0.000 Se
0.500 0.500 0.500 N
```

Summary:
Polymorph energy (0 for the lowest one)   0.0 kJ/mol of atoms
Energy relative to the elements, uncorrected   -1369 meV/atom

---

(7)
## Na2Mg3CdSn4 (PBE)

Data for Na2Mg3CdSn4 after structural relaxation.

```
Na2Mg3CdSn4
1.0
4.588 0.000 0.000
0.000 4.588 0.000
0.000 0.000 13.166
Na Mg Cd Sn
2 3 1 4
Direct
0.000 0.500 0.226 Na
0.500 0.000 0.774 Na
0.000 0.000 0.000 Mg
0.000 0.500 0.646 Mg
0.500 0.000 0.354 Mg
0.500 0.500 0.000 Cd
0.000 0.000 0.500 Sn
0.000 0.500 0.859 Sn
0.500 0.000 0.141 Sn
0.500 0.500 0.500 Sn
```

Summary:
Energy relative to the elements   -137 meV/atom

---

(8)
## Ho2TmAgHg4 (PBE)

Data for Ho2TmAgHg4 after structural relaxation.

```
Ho2TmAgHg4
1.0
2.545 1.470 8.495
-2.545 1.470 8.495
0.000 -2.939 8.495
Ho Tm Ag Hg
2 1 1 4
Direct
0.243 0.243 0.243 Ho
0.757 0.757 0.757 Ho
0.000 0.000 0.000 Tm
0.500 0.500 0.500 Ag
0.123 0.123 0.123 Hg
0.372 0.372 0.372 Hg
0.628 0.628 0.628 Hg
0.877 0.877 0.877 Hg
```

Summary:
Energy relative to the elements   -397 meV/atom

---

(9)
## TcMo2W (PBE)

Data for TcMo2W after structural relaxation.

```
TcMo2W
1.0
0.000 3.151 3.151
3.151 0.000 3.151
3.151 3.151 0.000
Tc Mo W
1 2 1
Direct
0.000 0.000 0.000 Tc
0.250 0.250 0.250 Mo
0.750 0.750 0.750 Mo
0.500 0.500 0.500 W
```

Summary:
Energy relative to the elements   60 meV/atom
Polymorph energy (0 for the lowest one)   4.3 kJ/mol of atoms

---

(10)
## Ca2TlCrBr (PBE)

Data for Ca2TlCrBr after structural relaxation.

```
Ca2TlCrBr
1.0
5.935 0.000 0.000
0.000 5.935 0.000
0.000 0.000 5.087
Ca Tl Cr Br
2 1 1 1
Direct
0.000 0.500 0.000 Ca
0.500 0.000 0.000 Ca
0.000 0.000 0.500 Tl
0.000 0.000 0.000 Cr
0.500 0.500 0.500 Br
```

Summary:
Energy relative to the elements, uncorrected   62 meV/atom

---

(11)
## PH2S (PBE)

Data for PH2S after structural relaxation.

```
PH2S
1.0
1.286 0.742 7.434
-1.286 0.742 7.434
0.000 -1.485 7.434
P H S
1 2 1
Direct
0.000 0.000 0.000 P
0.066 0.066 0.066 H
0.934 0.934 0.934 H
0.500 0.500 0.500 S
```

Summary:
Polymorph energy (0 for the lowest one)   39.6 kJ/mol of atoms

---

(12)
## TmNi5Rh2 (PBE)

Data for TmNi5Rh2 after structural relaxation.

```
TmNi5Rh2
1.0
-1.794 3.330 4.826
1.794 -3.330 4.826
1.794 3.330 -4.826
Tm Ni Rh
1 5 2
Direct
0.000 0.000 0.000 Tm
0.193 0.376 0.816 Ni
0.440 0.624 0.816 Ni
0.500 0.000 0.500 Ni
0.560 0.376 0.184 Ni
0.807 0.624 0.184 Ni
0.242 0.742 0.500 Rh
0.758 0.258 0.500 Rh
```

Summary:
Energy relative to the elements   -27 meV/atom

---

Number 1: size of the total moment 0.9 μB per formula unit. Number 2: size of the total moment 0.0 μB per formula unit. Number 3: size of the total moment 0.0 μB per formula unit. Number 4: size of the total moment 0.0 μB per formula unit. Number 5: size of the total moment 0.0 μB per formula unit. Number 6: size of the total moment 0.0 μB per formula unit. Number 7: size of the total moment 0.0 μB per formula unit. Number 8: size of the total moment 0.0 μB per formula unit. Number 9: size of the total moment 0.0 μB per formula unit. Number 10: size of the total moment 4.4 μB per formula unit. Number 11: size of the total moment 0.0 μB per formula unit. Number 12: size of the total moment 2.7 μB per formula unit.